Ti2TlO4 after structural relaxation. Source: Alexandria, functional GGA-PBE.

abc: 6.463 6.463 6.464
angles: 120.00 120.00 89.99
Site moments in Bohr magnetons follow the coordinates.
Element x y z (fractional)
1 Ti 0.625 0.375 0.750  0.31
2 Ti 0.625 0.875 0.250  0.31
3 Ti 0.625 0.375 0.250  0.31
4 Ti 0.125 0.375 0.750  0.31
5 Tl 0.250 0.750 0.500  -0.01
6 Tl 0.000 0.000 0.000  -0.01
7 O 0.849 0.151 0.303  -0.01
8 O 0.402 0.599 0.198  -0.01
9 O 0.848 0.546 0.697  -0.01
10 O 0.849 0.152 0.698  -0.01
11 O 0.454 0.151 0.302  -0.01
12 O 0.401 0.204 0.802  -0.01
13 O 0.401 0.599 0.803  -0.01
14 O 0.796 0.598 0.197  -0.01

Computed properties:
The density is 6.333 g/cm3. The space group is Fd-3m, No. 227. The crystal system is cubic. The calculation puts the density of states at the Fermi level at 4.7 states/eV/cell. Its raw formation energy is -2.2360 eV/atom. The calculation puts the energy above the lowest structure with this stoichiometry at 230.7 meV per atom.

---

TiTl3O after structural relaxation. Source: Alexandria, functional GGA-PBE.

abc: 4.921 4.921 4.921
angles: 90.00 90.00 90.00
Site moments in Bohr magnetons follow the coordinates.
Element x y z (fractional)
1 Tl 0.000 0.500 0.000  0.00
2 Tl 0.000 0.000 0.500  0.00
3 Tl 0.500 0.000 0.000  -0.01
4 O 0.000 0.000 0.000  -0.04
5 Ti 0.500 0.500 0.500  1.59

Computed properties:
The density is 9.435 g/cm3. The space group is Pm-3m, No. 221. The crystal system is cubic. The calculation puts the density of states at the Fermi level at 3.2 states/eV/cell. Its raw formation energy is 0.2685 eV/atom. The calculation puts the energy above the lowest structure with this stoichiometry at 0.0 meV per atom.

---

Ti4TlO after structural relaxation. Source: Alexandria, functional GGA-PBE.

abc: 4.459 5.855 7.477
angles: 90.00 107.35 90.00
Site moments in Bohr magnetons follow the coordinates.
Element x y z (fractional)
1 Ti 0.204 0.504 0.407  -0.04
2 Ti 0.796 0.496 0.593  -0.04
3 Ti 0.204 0.996 0.407  -0.04
4 Ti 0.796 0.004 0.593  -0.04
5 Ti 0.609 0.750 0.218  0.09
6 Ti 0.391 0.250 0.782  0.09
7 Ti 0.000 0.500 0.000  0.28
8 Ti 0.000 0.000 0.000  0.28
9 Tl 0.395 0.750 0.791  0.00
10 Tl 0.605 0.250 0.209  0.00
11 O 0.102 0.750 0.204  0.00
12 O 0.898 0.250 0.796  0.00

Computed properties:
The density is 7.341 g/cm3. The space group is Cmcm, No. 63. The crystal system is orthorhombic. The calculation puts the density of states at the Fermi level at 11.7 states/eV/cell. Its raw formation energy is -0.8344 eV/atom. The calculation puts the energy above the lowest structure with this stoichiometry at 31.9 meV per atom.

---

TmTiTl2O6 after structural relaxation. Source: Alexandria, functional GGA-PBE.

abc: 5.659 5.659 5.919
angles: 61.44 61.45 60.01
Element x y z (fractional)
1 Tm 0.812 0.812 0.565
2 Ti 0.311 0.311 0.066
3 Tl 0.543 0.543 0.372
4 Tl 0.036 0.036 0.892
5 O 0.575 0.162 0.256
6 O 0.163 0.007 0.256
7 O 0.007 0.574 0.256
8 O 0.435 0.676 0.784
9 O 0.675 0.105 0.784
10 O 0.105 0.435 0.784

Computed properties:
The density is 8.752 g/cm3. The space group is R3, No. 146. The crystal system is trigonal. The calculation puts the density of states at the Fermi level at 2.7 states/eV/cell. Its raw formation energy is -2.0289 eV/atom.